Below is crystalline BaH3Rh at its relaxed geometry, with properties calculated at the GGA-PBE level.

a = 3.916 Å, b = 3.916 Å, c = 10.907 Å
α = 90.00°, β = 90.00°, γ = 120.00°
Fractional positions:
H: 0.000 0.000 0.250
H: 0.667 0.333 0.097
H: 0.333 0.667 0.903
H: 0.333 0.667 0.597
H: 0.000 0.000 0.750
H: 0.667 0.333 0.403
Rh: 0.333 0.667 0.750
Rh: 0.667 0.333 0.250
Ba: 0.000 0.000 0.500
Ba: 0.000 0.000 0.000

Final energy ... -3.9753 eV/atom
M_tot ... 0.0 μB per formula unit